Below is a relaxed Li2VO2F crystal, with properties calculated at the PBE+U level.

```
data_Li2VO2F
_cell_length_a 7.3959
_cell_length_b 3.0261
_cell_length_c 10.3476
_cell_angle_alpha 90.00
_cell_angle_beta 92.71
_cell_angle_gamma 90.00
_space_group_name_H-M_alt 'P 1 m 1'
_space_group_IT_number 6
loop_
_space_group_symop_operation_xyz
'x,y,z'
'x,-y,z'
loop_
_atom_site_label
_atom_site_fract_x
_atom_site_fract_y
_atom_site_fract_z
Li1 0.0000 0.0000 0.0000
Li2 0.0039 0.5000 0.2177
Li3 0.2388 0.0000 0.3337
Li4 0.2616 0.5000 0.0924
Li5 0.2773 0.5000 0.5817
Li6 0.2881 0.0000 0.8306
Li7 0.9583 0.0000 0.4942
Li8 0.9680 0.5000 0.7429
V1 0.6211 0.5000 0.4103
V2 0.6225 0.0000 0.6562
V3 0.6354 0.5000 0.9020
V4 0.6550 0.0000 0.1452
O1 0.1368 0.0000 0.1630
O2 0.4653 0.0000 0.4839
O3 0.4732 0.5000 0.7357
O4 0.4946 0.0000 0.9851
O5 0.7556 0.0000 0.3285
O6 0.7738 0.5000 0.5764
O7 0.7831 0.0000 0.8211
O8 0.7919 0.5000 0.0730
F1 0.1152 0.5000 0.4213
F2 0.1243 0.0000 0.6595
F3 0.1350 0.5000 0.9010
F4 0.4834 0.5000 0.2245
```

## Properties
uncorrected energy	-6.138	eV per atom